# ZrAgHg

A geometry-optimized ZrAgHg structure (GGA-PBE, Alexandria).

Unit cell a=4.332 b=4.383 c=6.809 alpha=90.00 beta=108.54 gamma=90.00
Positions (direct):
Hg (0.589, 0.250, 0.178)
Ag (0.250, 0.250, 0.499)
Ag (0.750, 0.750, 0.501)
Zr (0.089, 0.750, 0.178)
Zr (0.911, 0.250, 0.822)
Hg (0.411, 0.750, 0.822)

Total moment = 0.089 μB/atom
E_form = -0.2 eV per formula unit

=====

# K2CuP

A geometry-optimized K2CuP structure (GGA-PBE, Alexandria).

Unit cell a=6.911 b=5.322 c=4.177 alpha=89.74 beta=53.32 gamma=114.51
Positions (direct):
Cu (0.500, 0.500, 0.000)
K (0.000, 0.000, 0.000)
K (0.500, 0.000, 0.500)
P (0.000, 0.500, 0.500)

Total moment = 0.009 μB/atom
E_form = 1.2 eV per formula unit

=====

# TbTm4Cu

A geometry-optimized TbTm4Cu structure (GGA-PBE, Alexandria).

Unit cell a=3.457 b=3.457 c=13.618 alpha=90.00 beta=90.00 gamma=90.00
Positions (direct):
Tm (0.000, 0.000, 0.624)
Cu (0.500, 0.500, 0.500)
Tm (0.500, 0.500, 0.185)
Tb (0.000, 0.000, 0.000)
Tm (0.500, 0.500, 0.815)
Tm (0.000, 0.000, 0.376)

Total moment = 0.000 μB/atom
E_form = -0.4 eV per formula unit

=====

# Ba2Zn4HgGe3

A geometry-optimized Ba2Zn4HgGe3 structure (GGA-PBE, Alexandria).

Unit cell a=4.545 b=4.545 c=11.109 alpha=90.00 beta=90.00 gamma=90.00
Positions (direct):
Zn (0.000, 0.000, 0.000)
Ba (0.500, 0.000, 0.240)
Zn (0.000, 0.500, 0.361)
Zn (0.500, 0.000, 0.639)
Ge (0.500, 0.000, 0.873)
Zn (0.500, 0.500, 0.000)
Ba (0.000, 0.500, 0.760)
Hg (0.500, 0.500, 0.500)
Ge (0.000, 0.500, 0.127)
Ge (0.000, 0.000, 0.500)

Total moment = 0.000 μB/atom
E_form = -3.5 eV per formula unit

=====

# Zr2FeHg

A geometry-optimized Zr2FeHg structure (GGA-PBE, Alexandria).

Unit cell a=3.425 b=3.425 c=8.387 alpha=79.91 beta=79.91 gamma=57.51
Positions (direct):
Hg (0.250, 0.250, 0.250)
Zr (0.491, 0.491, 0.549)
Zr (0.009, 0.009, 0.951)
Fe (0.750, 0.750, 0.750)

Total moment = 0.000 μB/atom
E_form = 0.0 eV per formula unit

=====

# SrTbAg

A geometry-optimized SrTbAg structure (GGA-PBE, Alexandria).

Unit cell a=3.781 b=3.781 c=7.275 alpha=105.06 beta=105.06 gamma=90.00
Positions (direct):
Ag (0.684, 0.684, 0.368)
Sr (0.021, 0.021, 0.041)
Tb (0.295, 0.295, 0.591)

Total moment = 0.000 μB/atom
E_form = -0.4 eV per formula unit

=====

# AcGdZnGa

A geometry-optimized AcGdZnGa structure (GGA-PBE, Alexandria).

Unit cell a=5.342 b=5.342 c=5.342 alpha=60.00 beta=60.00 gamma=60.00
Positions (direct):
Ga (0.250, 0.250, 0.250)
Ac (0.500, 0.500, 0.500)
Zn (0.750, 0.750, 0.750)
Gd (0.000, 0.000, 0.000)

Total moment = 1.961 μB/atom
E_form = -1.5 eV per formula unit

=====

# GeOsN2O

A geometry-optimized GeOsN2O structure (GGA-PBE, Alexandria).

Unit cell a=3.771 b=3.771 c=3.653 alpha=90.00 beta=90.00 gamma=90.00
Positions (direct):
N (0.000, 0.500, 0.000)
O (0.000, 0.000, 0.500)
N (0.500, 0.000, 0.000)
Os (0.500, 0.500, 0.500)
Ge (0.000, 0.000, 0.000)

E = -0.455 Ry per atom
Total moment = 0.000 μB/atom

=====

# CoIr2Os

A geometry-optimized CoIr2Os structure (GGA-PBE, Alexandria).

Unit cell a=8.750 b=8.750 c=8.750 alpha=17.90 beta=17.90 gamma=17.90
Positions (direct):
Co (0.750, 0.750, 0.750)
Os (0.250, 0.250, 0.250)
Ir (0.498, 0.498, 0.498)
Ir (0.002, 0.002, 0.002)

Total moment = 0.577 μB/atom
Distance to the lowest polymorph of the same formula = 70 meV/atom
E_form = 0.4 eV per formula unit